DFT (GGA+U) results for crystalline MnSnBO5 at its relaxed geometry.

The value obtained for the volume is 338 Å³ per cell. The magnetic moment comes out at 4.0 μB/f.u. The total energy comes out at -7.071 eV/atom.

The structure belongs to space group C2/c (No. 15); the cell edges are 6.054, 8.150 and 7.409 Å and the angles 90.00°, 112.34° and 90.00°. The distinct sites, in fractional coordinates, are Mn at (0.000, 0.159, 0.250), Sn at (0.000, 0.500, 0.000), B at (0.000, 0.182, 0.750), O at (0.000, 0.390, 0.250), O at (0.145, 0.070, 0.906) and O at (0.145, 0.297, 0.672).